Record 1
Entry from Alexandria via LeMat-Bulk: P3AuCl after structural relaxation (GGA-PBE).

Structure (POSCAR):
```
P3AuCl
1.0
-1.0777 4.0244 -2.6424
-4.7040 -1.4566 -0.3000
-1.0249 2.4539 4.1554
Cl P Au
1 3 1
direct
0.5000 0.5000 0.5000
0.0000 0.5000 0.0000
0.0000 0.0000 0.5000
0.5000 0.0000 0.0000
0.0000 0.0000 0.0000
```

- calculated total energy (eV per atom) = -3.056
- E_form (uncorrected) (eV/atom) = 1.215
- DOS at the Fermi energy (states/eV per cell) = 3.82

***

Record 2
Entry from Alexandria via LeMat-Bulk: RbPuHg2 after structural relaxation (GGA-PBE).

Structure (POSCAR):
```
RbPuHg2
1.0
3.8186 0.0000 0.0000
0.0000 3.8186 0.0000
0.0000 0.0000 8.8905
Pu Rb Hg
1 1 2
direct
0.5000 0.5000 0.0000
0.5000 0.5000 0.5000
0.0000 0.0000 0.7964
0.0000 0.0000 0.2036
```

- calculated total energy (eV per atom) = -4.058
- E_form (eV per formula unit) = -0.33
- DOS at the Fermi energy (states/eV per cell) = 9.50

***

Record 3
Entry from Alexandria via LeMat-Bulk: MgBr2F after structural relaxation (GGA-PBE).

Structure (POSCAR):
```
MgBr2F
1.0
-4.6767 2.4208 -3.7627
1.0550 -4.6929 -4.3305
-5.5491 -4.3537 -1.4704
Mg Br F
2 4 2
direct
0.7500 0.2500 0.5000
0.0000 0.0000 0.0000
0.0877 0.6250 0.2500
0.3750 0.3377 0.7500
0.8750 0.9123 0.7500
0.6623 0.1250 0.2500
0.2500 0.7500 0.5000
0.5000 0.5000 0.0000
```

- calculated total energy (eV per atom) = -2.646
- E_form (uncorrected) (eV/atom) = -0.943
- DOS at the Fermi energy (states/eV per cell) = 6.19

***

Record 4
Entry from Alexandria via LeMat-Bulk: LiTbCe after structural relaxation (GGA-PBE).

Structure (POSCAR):
```
LiTbCe
1.0
-2.5732 0.5152 -2.1518
3.1034 -0.6743 -1.1964
-1.7463 -8.2417 0.1151
Tb Ce Li
1 1 1
direct
0.6667 0.3333 0.3303
0.3333 0.6667 0.6682
0.0000 0.0000 0.0015
```

- calculated total energy (eV per atom) = -4.003
- E_form (eV per formula unit) = 0.47
- DOS at the Fermi energy (states/eV per cell) = 5.25

***

Record 5
Entry from Alexandria via LeMat-Bulk: Pm7Rh2Au2 after structural relaxation (GGA-PBE).

Structure (POSCAR):
```
Pm7Rh2Au2
1.0
6.7805 -0.0036 -0.9065
0.0031 7.1775 0.0033
-1.3272 -0.0013 6.7108
Au Pm Rh
2 7 2
direct
0.1831 0.5000 0.1831
0.8169 0.5000 0.8169
0.0000 0.2610 0.5000
0.5000 0.7390 0.0000
0.0000 0.7390 0.5000
0.5000 0.7470 0.5000
0.0000 0.0000 0.0000
0.5000 0.2610 0.0000
0.5000 0.2530 0.5000
0.7079 0.0000 0.2921
0.2921 0.0000 0.7079
```

- calculated total energy (eV per atom) = -5.405
- E_form (eV per formula unit) = -4.95
- DOS at the Fermi energy (states/eV per cell) = 13.11

***

Record 6
Entry from Alexandria via LeMat-Bulk: LiTbMnCl6 after structural relaxation (GGA-PBE).

Structure (POSCAR):
```
LiTbMnCl6
1.0
-1.1576 6.3192 0.9238
-2.8528 -3.1374 -4.9136
-9.0311 -2.6702 6.9483
Cl Li Tb Mn
12 2 2 2
direct
0.6761 0.6686 0.6236
0.0075 0.3314 0.1236
0.9925 0.3239 0.6236
0.3239 0.9925 0.1236
0.0075 0.6761 0.3764
0.6686 0.6761 0.1236
0.6686 0.9925 0.3764
0.9925 0.6686 0.8764
0.3239 0.3314 0.3764
0.3314 0.0075 0.6236
0.3314 0.3239 0.8764
0.6761 0.0075 0.8764
0.3333 0.6667 0.2500
0.6667 0.3333 0.7500
0.3333 0.6667 0.7500
0.6667 0.3333 0.2500
0.0000 0.0000 0.5000
0.0000 0.0000 0.0000
```

- calculated total energy (eV per atom) = -4.711
- E_form (uncorrected) (eV/atom) = -1.734
- DOS at the Fermi energy (states/eV per cell) = 0.00

***

Record 7
Entry from Alexandria via LeMat-Bulk: Nb2VGeRh after structural relaxation (GGA-PBE).

Structure (POSCAR):
```
Nb2VGeRh
1.0
4.5679 0.0000 0.0000
0.0000 4.5601 0.0000
0.0000 0.0000 4.5679
Nb Ge V Rh
2 1 1 1
direct
0.5000 0.0000 0.0000
0.0000 0.0000 0.5000
0.0000 0.5000 0.0000
0.0000 0.0000 0.0000
0.5000 0.5000 0.5000
```

- calculated total energy (eV per atom) = -7.375
- E_form (eV per formula unit) = 4.35
- DOS at the Fermi energy (states/eV per cell) = 4.87

***

Record 8
Entry from Alexandria via LeMat-Bulk: BePd2S after structural relaxation (GGA-PBE).

Structure (POSCAR):
```
BePd2S
1.0
0.0000 2.9983 2.9983
2.9983 0.0000 2.9983
2.9983 2.9983 0.0000
Be S Pd
1 1 2
direct
0.0000 0.0000 0.0000
0.5000 0.5000 0.5000
0.7500 0.7500 0.7500
0.2500 0.2500 0.2500
```

- calculated total energy (eV per atom) = -4.566
- E_form (uncorrected) (eV/atom) = -0.007
- DOS at the Fermi energy (states/eV per cell) = 3.25